No. 1
Computed, not measured: a relaxed structure of Tc2BiRuAu at the PBE level of DFT.

```
data_Tc2BiRuAu
_symmetry_space_group_name_H-M 'P 4/m m m'
_symmetry_Int_Tables_number 123
_symmetry_space_group_name_Hall '-P 4 2'
_cell_length_a 4.657
_cell_length_b 4.657
_cell_length_c 5.138
_cell_angle_alpha 90.00
_cell_angle_beta 90.00
_cell_angle_gamma 90.00
loop_
_atom_site_label
_atom_site_type_symbol
_atom_site_fract_x
_atom_site_fract_y
_atom_site_fract_z
Tc1 Tc 0.000 0.500 0.000
Bi1 Bi 0.000 0.000 0.500
Ru1 Ru 0.500 0.500 0.000
Au1 Au 0.500 0.500 0.500
```

Values from the calculation:
total magnetic moment: 2.15 μB per formula unit
electronic total energy: -6.160 eV per atom
E_form: 1274 meV per atom

=====

No. 2
Computed, not measured: a relaxed structure of TlBi2RuAu at the PBE level of DFT.

```
data_TlBi2RuAu
_symmetry_space_group_name_H-M 'P 4/m m m'
_symmetry_Int_Tables_number 123
_symmetry_space_group_name_Hall '-P 4 2'
_cell_length_a 5.790
_cell_length_b 5.790
_cell_length_c 5.088
_cell_angle_alpha 90.00
_cell_angle_beta 90.00
_cell_angle_gamma 90.00
loop_
_atom_site_label
_atom_site_type_symbol
_atom_site_fract_x
_atom_site_fract_y
_atom_site_fract_z
Tl1 Tl 0.000 0.000 0.000
Bi1 Bi 0.000 0.500 0.000
Ru1 Ru 0.500 0.500 0.500
Au1 Au 0.000 0.000 0.500
```

Values from the calculation:
total magnetic moment: 2.21 μB per formula unit
electronic total energy: -3.032 eV per atom
E_form: 1505 meV per atom